No. 1
DFT (PBE with a Hubbard U) results for a relaxed KTaWO7 crystal.

```
data_KTaWO7
_cell_length_a 7.473
_cell_length_b 7.473
_cell_length_c 7.473
_cell_angle_alpha 120.02
_cell_angle_beta 119.66
_cell_angle_gamma 90.27
_space_group_name_H-M_alt 'P 1'
_space_group_IT_number 1
loop_
_space_group_symop_operation_xyz
'x,y,z'
loop_
_atom_site_label
_atom_site_type_symbol
_atom_site_fract_x
_atom_site_fract_y
_atom_site_fract_z
K1 K 0.500 0.000 0.000
K2 K 0.500 0.500 0.500
Ta1 Ta 0.000 0.000 0.000
Ta2 Ta 0.500 0.000 0.500
W1 W 0.000 0.000 0.500
W2 W 0.000 0.500 0.000
O1 O 0.000 0.500 0.500
O2 O 0.057 0.307 0.750
O3 O 0.060 0.313 0.117
O4 O 0.060 0.943 0.747
O5 O 0.304 0.057 0.617
O6 O 0.304 0.687 0.247
O7 O 0.313 0.063 0.250
O8 O 0.500 0.500 0.000
O9 O 0.687 0.937 0.750
O10 O 0.696 0.313 0.753
O11 O 0.696 0.943 0.383
O12 O 0.940 0.057 0.253
O13 O 0.940 0.687 0.883
O14 O 0.943 0.693 0.250
```

## Properties
Theoretical density   5.792 g/cm³
Energy   -7.378 eV/atom


No. 2
DFT (PBE with a Hubbard U) results for a relaxed KTaW2O9 crystal.

```
data_KTaW2O9
_cell_length_a 3.914
_cell_length_b 13.055
_cell_length_c 13.056
_cell_angle_alpha 60.07
_cell_angle_beta 89.95
_cell_angle_gamma 89.97
_space_group_name_H-M_alt 'P 1'
_space_group_IT_number 1
loop_
_space_group_symop_operation_xyz
'x,y,z'
loop_
_atom_site_label
_atom_site_type_symbol
_atom_site_fract_x
_atom_site_fract_y
_atom_site_fract_z
K1 K 0.000 0.000 0.000
K2 K 0.003 0.377 0.316
K3 K 0.184 0.693 0.620
Ta1 Ta 0.520 0.855 0.286
Ta2 Ta 0.521 0.526 0.451
Ta3 Ta 0.531 0.857 0.784
W1 W 0.472 0.190 0.117
W2 W 0.473 0.190 0.617
W3 W 0.476 0.690 0.118
W4 W 0.543 0.025 0.450
W5 W 0.544 0.356 0.784
W6 W 0.545 0.525 0.949
O1 O 0.000 0.190 0.616
O2 O 0.001 0.686 0.115
O3 O 0.009 0.863 0.270
O4 O 0.010 0.519 0.446
O5 O 0.015 0.032 0.444
O6 O 0.015 0.853 0.777
O7 O 0.016 0.353 0.785
O8 O 0.017 0.521 0.948
O9 O 0.504 0.030 0.152
O10 O 0.505 0.812 0.155
O11 O 0.506 0.148 0.492
O12 O 0.506 0.149 0.279
O13 O 0.506 0.235 0.948
O14 O 0.506 0.352 0.494
O15 O 0.506 0.691 0.410
O16 O 0.506 0.907 0.403
O17 O 0.507 0.234 0.738
O18 O 0.507 0.476 0.621
O19 O 0.507 0.565 0.278
O20 O 0.508 0.357 0.067
O21 O 0.509 0.026 0.736
O22 O 0.510 0.566 0.069
O23 O 0.510 0.808 0.952
O24 O 0.511 0.477 0.826
O25 O 0.512 0.684 0.824
O26 O 0.512 0.903 0.608
O27 O 0.999 0.193 0.113
```

## Properties
Theoretical density   6.305 g/cm³
Energy   -7.821 eV/atom


Q: Which of these has the lowest theoretical density?
A: KTaWO7